Record 1
A relaxed BaInCu crystal, computed with GGA-PBE.

abc: 6.650 6.650 7.300
angles: 90.00 90.00 120.00
Fractional positions:
1 Ba 0.934 0.632 0.388
2 Cu 0.429 0.663 0.399
3 In 0.273 0.242 0.546
4 In 0.758 0.031 0.213
5 In 0.969 0.727 0.880
6 Cu 0.233 0.571 0.733
7 Ba 0.698 0.066 0.721
8 Cu 0.337 0.767 0.066
9 Ba 0.368 0.302 0.054

Calculated values
Its crystal system is trigonal. For the density of states at the Fermi level, the calculation gives 5.7 states/eV/cell.

***

Record 2
A relaxed Pr2Pt2O7 crystal, computed with GGA-PBE.

abc: 7.474 7.474 7.474
angles: 60.00 60.00 60.00
Fractional positions:
1 Pr 0.625 0.625 0.625
2 Pt 0.125 0.625 0.125
3 O 0.041 0.459 0.459
4 Pr 0.625 0.625 0.125
5 O 0.750 0.750 0.750
6 O 0.041 0.041 0.459
7 O 0.500 0.500 0.500
8 O 0.791 0.791 0.209
9 Pr 0.125 0.625 0.625
10 O 0.459 0.459 0.041
11 O 0.791 0.209 0.791
12 Pt 0.625 0.125 0.125
13 Pt 0.125 0.125 0.625
14 O 0.041 0.459 0.041
15 O 0.459 0.041 0.041
16 Pt 0.125 0.125 0.125
17 O 0.209 0.791 0.791
18 O 0.791 0.209 0.209
19 O 0.459 0.041 0.459
20 Pr 0.625 0.125 0.625
21 O 0.209 0.209 0.791
22 O 0.209 0.791 0.209

Calculated values
Its crystal system is cubic.

***

Going through the records in order, we get calculated total energy values of -3.05 -7.00 eV/atom.